Record 1
A plane-wave DFT calculation with PBE was carried out for crystalline Pr6Ho2Tm3Tl at its relaxed geometry.

Cell: 6.229 6.229 11.826 Å, 95.08 95.08 120.13°
Atoms (fractional coordinates):
1 Pr 0.083 0.412 0.750
2 Pr 0.245 0.245 0.249
3 Pr 0.412 0.083 0.750
4 Pr 0.588 0.917 0.250
5 Pr 0.755 0.755 0.751
6 Pr 0.917 0.588 0.250
7 Ho 0.334 0.666 0.500
8 Ho 0.666 0.334 0.500
9 Tm 0.168 0.832 0.000
10 Tm 0.500 0.500 0.000
11 Tm 0.832 0.168 0.000
12 Tl 0.000 0.000 0.500

Properties
D(E_F) ... 13.36 states/eV per cell
Calculated formation energy ... -4 kJ/mol of formula units
Total magnetic moment ... 0.00 Bohr magnetons per cell
E ... -4.47 eV/atom

Record 2
A plane-wave DFT calculation with PBE was carried out for crystalline PrHo2TmTl2 at its relaxed geometry.

Cell: 5.130 10.020 6.843 Å, 90.00 90.00 90.00°
Atoms (fractional coordinates):
1 Pr 0.000 0.043 0.000
2 Pr 0.000 0.957 0.500
3 Ho 0.000 0.319 0.381
4 Ho 0.000 0.681 0.881
5 Ho 0.500 0.455 0.093
6 Ho 0.500 0.545 0.593
7 Tm 0.500 0.194 0.720
8 Tm 0.500 0.806 0.220
9 Tl 0.000 0.367 0.840
10 Tl 0.000 0.633 0.340
11 Tl 0.500 0.138 0.266
12 Tl 0.500 0.862 0.766

Properties
D(E_F) ... 11.73 states/eV per cell
Calculated formation energy ... -151 kJ/mol of formula units
Total magnetic moment ... 0.00 Bohr magnetons per cell
E ... -4.12 eV/atom

Record 3
A plane-wave DFT calculation with PBE was carried out for crystalline PrY2HoTl2 at its relaxed geometry.

Cell: 5.143 10.090 6.890 Å, 90.00 90.00 90.00°
Atoms (fractional coordinates):
1 Pr 0.000 0.045 0.000
2 Pr 0.000 0.955 0.500
3 Y 0.000 0.317 0.383
4 Y 0.000 0.683 0.883
5 Y 0.500 0.454 0.096
6 Y 0.500 0.546 0.596
7 Ho 0.500 0.193 0.722
8 Ho 0.500 0.807 0.222
9 Tl 0.000 0.369 0.840
10 Tl 0.000 0.631 0.340
11 Tl 0.500 0.137 0.266
12 Tl 0.500 0.863 0.766

Properties
D(E_F) ... 12.69 states/eV per cell
Calculated formation energy ... -166 kJ/mol of formula units
Total magnetic moment ... 0.00 Bohr magnetons per cell
E ... -4.79 eV/atom

Record 4
A plane-wave DFT calculation with PBE was carried out for crystalline PrYHo2Tl2 at its relaxed geometry.

Cell: 5.165 10.081 6.813 Å, 90.00 90.00 90.00°
Atoms (fractional coordinates):
1 Pr 0.000 0.041 0.000
2 Pr 0.000 0.959 0.500
3 Y 0.500 0.192 0.724
4 Y 0.500 0.808 0.224
5 Ho 0.000 0.319 0.374
6 Ho 0.000 0.681 0.874
7 Ho 0.500 0.457 0.090
8 Ho 0.500 0.543 0.590
9 Tl 0.000 0.368 0.838
10 Tl 0.000 0.632 0.338
11 Tl 0.500 0.142 0.262
12 Tl 0.500 0.858 0.762

Properties
D(E_F) ... 12.20 states/eV per cell
Calculated formation energy ... -159 kJ/mol of formula units
Total magnetic moment ... 0.00 Bohr magnetons per cell
E ... -4.46 eV/atom

Record 5
A plane-wave DFT calculation with PBE was carried out for crystalline Pr2YHoTl2 at its relaxed geometry.

Cell: 5.158 10.263 6.929 Å, 90.00 90.00 90.00°
Atoms (fractional coordinates):
1 Pr 0.000 0.045 0.000
2 Pr 0.000 0.955 0.500
3 Pr 0.500 0.188 0.267
4 Pr 0.500 0.812 0.767
5 Y 0.500 0.458 0.898
6 Y 0.500 0.542 0.398
7 Ho 0.000 0.315 0.615
8 Ho 0.000 0.685 0.115
9 Tl 0.000 0.378 0.156
10 Tl 0.000 0.622 0.656
11 Tl 0.500 0.146 0.738
12 Tl 0.500 0.854 0.238

Properties
D(E_F) ... 13.13 states/eV per cell
Calculated formation energy ... -160 kJ/mol of formula units
Total magnetic moment ... 0.00 Bohr magnetons per cell
E ... -4.50 eV/atom

Record 6
A plane-wave DFT calculation with PBE was carried out for crystalline Pr8Ho5Tm at its relaxed geometry.

Cell: 8.627 8.627 8.678 Å, 114.30 115.84 98.48°
Atoms (fractional coordinates):
1 Pr 0.000 0.000 0.000
2 Pr 0.001 0.682 0.568
3 Pr 0.387 0.493 0.324
4 Pr 0.435 0.121 0.557
5 Pr 0.550 0.554 0.989
6 Pr 0.605 0.184 0.232
7 Pr 0.735 0.947 0.510
8 Pr 0.873 0.347 0.047
9 Ho 0.125 0.337 0.518
10 Ho 0.219 0.156 0.816
11 Ho 0.255 0.729 0.040
12 Ho 0.493 0.836 0.778
13 Ho 0.776 0.524 0.741
14 Tm 0.996 0.839 0.278

Properties
D(E_F) ... 20.84 states/eV per cell
Calculated formation energy ... 227 kJ/mol of formula units
Total magnetic moment ... 0.00 Bohr magnetons per cell
E ... -4.52 eV/atom

Record 7
A plane-wave DFT calculation with PBE was carried out for crystalline Pr4Ho4Tm3 at its relaxed geometry.

Cell: 3.526 5.677 18.114 Å, 99.01 95.59 90.00°
Atoms (fractional coordinates):
1 Pr 0.091 0.090 0.181
2 Pr 0.231 0.731 0.462
3 Pr 0.769 0.269 0.538
4 Pr 0.909 0.910 0.819
5 Ho 0.046 0.545 0.090
6 Ho 0.181 0.180 0.361
7 Ho 0.819 0.820 0.639
8 Ho 0.954 0.455 0.910
9 Tm 0.364 0.365 0.730
10 Tm 0.500 0.000 0.000
11 Tm 0.636 0.635 0.270

Properties
D(E_F) ... 18.32 states/eV per cell
Relative energy among the computed polymorphs ... 27 meV per atom
Calculated formation energy ... 73 kJ/mol of formula units
Total magnetic moment ... 0.00 Bohr magnetons per cell
E ... -4.55 eV/atom

Record 8
A plane-wave DFT calculation with PBE was carried out for crystalline Pr12Ho7Tm at its relaxed geometry.

Cell: 11.572 11.572 11.572 Å, 116.81 116.81 116.81°
Atoms (fractional coordinates):
1 Pr 0.000 0.412 0.588
2 Pr 0.000 0.588 0.412
3 Pr 0.083 0.083 0.435
4 Pr 0.083 0.435 0.083
5 Pr 0.412 0.000 0.588
6 Pr 0.412 0.588 0.000
7 Pr 0.435 0.083 0.083
8 Pr 0.565 0.917 0.917
9 Pr 0.588 0.000 0.412
10 Pr 0.588 0.412 0.000
11 Pr 0.917 0.565 0.917
12 Pr 0.917 0.917 0.565
13 Ho 0.000 0.000 0.000
14 Ho 0.134 0.377 0.377
15 Ho 0.377 0.134 0.377
16 Ho 0.377 0.377 0.134
17 Ho 0.623 0.623 0.866
18 Ho 0.623 0.866 0.623
19 Ho 0.866 0.623 0.623
20 Tm 0.500 0.500 0.500

Properties
D(E_F) ... 28.45 states/eV per cell
Relative energy among the computed polymorphs ... 0 meV per atom
Calculated formation energy ... 419 kJ/mol of formula units
Total magnetic moment ... 0.00 Bohr magnetons per cell
E ... -4.48 eV/atom

Record 9
A plane-wave DFT calculation with PBE was carried out for crystalline Pr3Ho8Tm2 at its relaxed geometry.

Cell: 5.864 8.849 17.197 Å, 78.49 89.26 73.89°
Atoms (fractional coordinates):
1 Pr 0.000 0.000 0.000
2 Pr 0.077 0.872 0.226
3 Pr 0.260 0.265 0.209
4 Pr 0.500 0.000 0.500
5 Pr 0.740 0.735 0.791
6 Pr 0.923 0.128 0.774
7 Ho 0.111 0.797 0.435
8 Ho 0.118 0.806 0.643
9 Ho 0.246 0.713 0.885
10 Ho 0.250 0.417 0.770
11 Ho 0.273 0.622 0.100
12 Ho 0.286 0.454 0.355
13 Ho 0.435 0.077 0.683
14 Ho 0.476 0.042 0.893
15 Ho 0.524 0.958 0.107
16 Ho 0.565 0.923 0.317
17 Ho 0.714 0.546 0.645
18 Ho 0.727 0.378 0.900
19 Ho 0.750 0.583 0.230
20 Ho 0.754 0.287 0.115
21 Ho 0.882 0.194 0.357
22 Ho 0.889 0.203 0.565
23 Tm 0.238 0.337 0.997
24 Tm 0.278 0.435 0.557
25 Tm 0.722 0.565 0.443
26 Tm 0.762 0.663 0.003

Properties
D(E_F) ... 38.61 states/eV per cell
Relative energy among the computed polymorphs ... 0 meV per atom
Calculated formation energy ... 101 kJ/mol of formula units
Total magnetic moment ... 0.00 Bohr magnetons per cell
E ... -4.53 eV/atom

Record 10
A plane-wave DFT calculation with PBE was carried out for crystalline Pr10HoTm6 at its relaxed geometry.

Cell: 9.865 9.865 6.918 Å, 90.00 90.00 120.00°
Atoms (fractional coordinates):
1 Pr 0.000 0.277 0.181
2 Pr 0.000 0.723 0.819
3 Pr 0.277 0.000 0.181
4 Pr 0.277 0.277 0.819
5 Pr 0.333 0.667 0.000
6 Pr 0.333 0.667 0.500
7 Pr 0.667 0.333 0.000
8 Pr 0.667 0.333 0.500
9 Pr 0.723 0.000 0.819
10 Pr 0.723 0.723 0.181
11 Ho 0.000 0.000 0.500
12 Tm 0.000 0.365 0.682
13 Tm 0.000 0.635 0.318
14 Tm 0.365 0.000 0.682
15 Tm 0.365 0.365 0.318
16 Tm 0.635 0.000 0.318
17 Tm 0.635 0.635 0.682

Properties
D(E_F) ... 25.44 states/eV per cell
Calculated formation energy ... 209 kJ/mol of formula units
Total magnetic moment ... 0.00 Bohr magnetons per cell
E ... -4.53 eV/atom

Record 11
A plane-wave DFT calculation with PBE was carried out for crystalline Pr2Ho9Tm at its relaxed geometry.

Cell: 11.243 11.243 3.484 Å, 90.00 90.00 120.00°
Atoms (fractional coordinates):
1 Pr 0.333 0.667 0.000
2 Pr 0.667 0.333 0.000
3 Ho 0.000 0.500 0.000
4 Ho 0.173 0.345 0.500
5 Ho 0.173 0.827 0.500
6 Ho 0.345 0.173 0.500
7 Ho 0.500 0.000 0.000
8 Ho 0.500 0.500 0.000
9 Ho 0.655 0.827 0.500
10 Ho 0.827 0.173 0.500
11 Ho 0.827 0.655 0.500
12 Tm 0.000 0.000 0.000

Properties
D(E_F) ... 20.79 states/eV per cell
Relative energy among the computed polymorphs ... 54 meV per atom
Calculated formation energy ... 92 kJ/mol of formula units
Total magnetic moment ... 0.00 Bohr magnetons per cell
E ... -4.52 eV/atom

Record 12
A plane-wave DFT calculation with PBE was carried out for crystalline Pr2HoTm at its relaxed geometry.

Cell: 5.604 3.565 13.399 Å, 90.00 90.00 90.00°
Atoms (fractional coordinates):
1 Pr 0.000 0.000 0.000
2 Pr 0.000 0.500 0.500
3 Pr 0.500 0.000 0.386
4 Pr 0.500 0.500 0.886
5 Ho 0.000 0.000 0.737
6 Ho 0.000 0.500 0.237
7 Tm 0.500 0.000 0.128
8 Tm 0.500 0.500 0.628

Properties
D(E_F) ... 12.95 states/eV per cell
Relative energy among the computed polymorphs ... 43 meV per atom
Calculated formation energy ... 23 kJ/mol of formula units
Total magnetic moment ... 0.00 Bohr magnetons per cell
E ... -4.59 eV/atom